## Tb2Nd3Ho6Zr (GGA-PBE)

Data for a relaxed structure of Tb2Nd3Ho6Zr.

Structure (POSCAR):
```
Tb2Nd3Ho6Zr
1.0
3.0689 -5.3101 0.0000
3.0689 5.3101 0.0000
-2.0388 0.0000 11.4974
Tb Nd Ho Zr
2 3 6 1
Direct
0.1667 0.8333 0.0000
0.8333 0.1667 0.0000
0.0000 0.0000 0.5000
0.3340 0.6660 0.5000
0.6660 0.3340 0.5000
0.0934 0.4197 0.7581
0.2542 0.2542 0.2417
0.4197 0.0934 0.7581
0.5803 0.9066 0.2419
0.7458 0.7458 0.7583
0.9066 0.5803 0.2419
0.5000 0.5000 0.0000
```

Summary:
**Spin magnetization**: 0.00 μB/f.u.
**E_tot**: -59.03 eV/f.u.
**DFT formation energy**: 0.046 eV/atom